CrHgN2 | GGA-PBE | optimized geometry

Summary:
Space-group type = R-3m, No. 166
Energy relative to the elements, uncorrected = 0.282 eV/atom
Size of the total moment = 0.4946 μB/atom
Raw total energy = -6.36 eV per atom

a = 6.485 Å, b = 6.485 Å, c = 6.485 Å
α = 27.07°, β = 27.07°, γ = 27.07°
Positions (direct):
Cr  0.000  0.000  0.000
Hg  0.500  0.500  0.500
N  0.387  0.387  0.387
N  0.613  0.613  0.613